No. 1
! PBE Dy3Hg5, relaxed; values from VASP
! DFT total energy	-2.34	eV per atom
! excess energy over the best structure of this formula in the dataset	0.006	eV per atom
! DFT formation energy	-0.424	eV per atom
! V	24.54	Å³/atom
&SYSTEM
  ibrav = 0, nat = 8, ntyp = 2
/
ATOMIC_SPECIES
Dy 162.50 Dy.upf
Hg 200.59 Hg.upf
CELL_PARAMETERS angstrom
5.117 0.000 0.000
0.000 3.691 5.198
0.000 -3.691 5.198
ATOMIC_POSITIONS angstrom
Dy 0.000 0.000 1.070
Dy 2.558 0.000 3.781
Dy 0.000 0.000 6.915
Hg 0.000 1.620 4.021
Hg 2.558 1.814 6.371
Hg 0.000 -1.620 4.021
Hg 2.558 -1.814 6.371
Hg 2.558 0.000 9.030

No. 2
! PBE DyHg2, relaxed; values from VASP
! DFT total energy	-2.12	eV per atom
! DFT formation energy	-0.384	eV per atom
! V	23.70	Å³/atom
&SYSTEM
  ibrav = 0, nat = 3, ntyp = 2
/
ATOMIC_SPECIES
Dy 162.50 Dy.upf
Hg 200.59 Hg.upf
CELL_PARAMETERS angstrom
-1.768 0.136 -4.568
-0.783 -3.936 2.818
-2.890 1.406 1.161
ATOMIC_POSITIONS angstrom
Dy 0.000 0.000 0.000
Hg -2.554 -1.879 0.933
Hg -2.887 -0.515 -1.522